# 1
## K12Na3Br5 (GGA-PBE)

Data for a relaxed structure of K12Na3Br5.

Computed properties:
- uncorrected energy (eV per atom) = -2.02
- spin magnetization (μB/atom) = 0.00
- SG = Ia-3d, No. 230

Cell: 18.237 18.237 18.237 Å, 109.47 109.47 109.47°
Atoms (fractional coordinates):
K1 0.028 0.205 0.119
K2 0.028 0.323 0.909
K3 0.086 0.705 0.677
K4 0.086 0.881 0.409
K5 0.091 0.619 0.414
K6 0.091 0.972 0.677
K7 0.119 0.028 0.205
K8 0.119 0.591 0.914
K9 0.177 0.205 0.586
K10 0.177 0.472 0.591
K11 0.205 0.119 0.028
K12 0.205 0.586 0.177
K13 0.295 0.323 0.914
K14 0.295 0.472 0.381
K15 0.323 0.909 0.028
K16 0.323 0.914 0.295
K17 0.381 0.295 0.472
K18 0.381 0.586 0.909
K19 0.409 0.086 0.881
K20 0.409 0.823 0.528
K21 0.414 0.091 0.619
K22 0.414 0.823 0.795
K23 0.472 0.381 0.295
K24 0.472 0.591 0.177
K25 0.528 0.409 0.823
K26 0.528 0.619 0.705
K27 0.586 0.177 0.205
K28 0.586 0.909 0.381
K29 0.591 0.177 0.472
K30 0.591 0.914 0.119
K31 0.619 0.414 0.091
K32 0.619 0.705 0.528
K33 0.677 0.086 0.705
K34 0.677 0.091 0.972
K35 0.705 0.528 0.619
K36 0.705 0.677 0.086
K37 0.795 0.414 0.823
K38 0.795 0.881 0.972
K39 0.823 0.528 0.409
K40 0.823 0.795 0.414
K41 0.881 0.409 0.086
K42 0.881 0.972 0.795
K43 0.909 0.028 0.323
K44 0.909 0.381 0.586
K45 0.914 0.119 0.591
K46 0.914 0.295 0.323
K47 0.972 0.677 0.091
K48 0.972 0.795 0.881
Na1 0.125 0.250 0.375
Na2 0.125 0.375 0.750
Na3 0.250 0.375 0.125
Na4 0.250 0.875 0.625
Na5 0.375 0.125 0.250
Na6 0.375 0.750 0.125
Na7 0.625 0.250 0.875
Na8 0.625 0.875 0.750
Na9 0.750 0.125 0.375
Na10 0.750 0.625 0.875
Na11 0.875 0.625 0.250
Na12 0.875 0.750 0.625
Br1 0.000 0.000 0.000
Br2 0.000 0.000 0.500
Br3 0.000 0.500 0.000
Br4 0.000 0.500 0.500
Br5 0.125 0.750 0.875
Br6 0.125 0.875 0.250
Br7 0.250 0.125 0.875
Br8 0.250 0.625 0.375
Br9 0.375 0.250 0.625
Br10 0.375 0.625 0.750
Br11 0.500 0.000 0.000
Br12 0.500 0.000 0.500
Br13 0.500 0.500 0.000
Br14 0.500 0.500 0.500
Br15 0.625 0.375 0.250
Br16 0.625 0.750 0.375
Br17 0.750 0.375 0.625
Br18 0.750 0.875 0.125
Br19 0.875 0.125 0.750
Br20 0.875 0.250 0.125

---

# 2
## KNa2Br (GGA-PBE)

Data for a relaxed structure of KNa2Br.

Computed properties:
- uncorrected energy (eV per atom) = -1.74
- spin magnetization (μB/atom) = 0.00
- energy above the most stable polymorph in this dataset (kcal/mol of atoms) = 6.55
- SG = Fm-3m, No. 225

Cell: 6.090 6.090 6.090 Å, 60.00 60.00 60.00°
Atoms (fractional coordinates):
K1 0.000 0.000 0.000
Na1 0.250 0.250 0.250
Na2 0.750 0.750 0.750
Br1 0.500 0.500 0.500

---

# 3
## KNa2Br (GGA-PBE)

Data for a relaxed structure of KNa2Br.

Computed properties:
- uncorrected energy (eV per atom) = -1.99
- spin magnetization (μB/atom) = 0.00
- energy above the most stable polymorph in this dataset (kcal/mol of atoms) = 0.69
- SG = R-3m, No. 166

Cell: 11.602 11.602 11.602 Å, 20.99 20.99 20.99°
Atoms (fractional coordinates):
K1 0.000 0.000 0.000
Na1 0.114 0.114 0.114
Na2 0.886 0.886 0.886
Br1 0.500 0.500 0.500

---

# 4
## KNa2Br (GGA-PBE)

Data for a relaxed structure of KNa2Br.

Computed properties:
- uncorrected energy (eV per atom) = -1.98
- spin magnetization (μB/atom) = 0.00
- energy above the most stable polymorph in this dataset (kcal/mol of atoms) = 1.00
- SG = I-42d, No. 122

Cell: 7.998 7.998 7.998 Å, 99.57 99.57 131.88°
Atoms (fractional coordinates):
K1 0.000 0.000 0.000
K2 0.750 0.250 0.500
Na1 0.223 0.625 0.098
Na2 0.375 0.473 0.598
Na3 0.527 0.125 0.902
Na4 0.875 0.777 0.402
Br1 0.250 0.750 0.500
Br2 0.500 0.500 0.000

---

# 5
## KNa4Br5 (GGA-PBE)

Data for a relaxed structure of KNa4Br5.

Computed properties:
- uncorrected energy (eV per atom) = -3.06
- spin magnetization (μB/atom) = 0.00
- energy above the most stable polymorph in this dataset (kcal/mol of atoms) = 0.00
- SG = C2/m, No. 12

Cell: 7.558 7.558 10.737 Å, 118.12 118.12 33.40°
Atoms (fractional coordinates):
K1 0.000 0.000 0.000
Na1 0.200 0.200 0.792
Na2 0.402 0.402 0.598
Na3 0.598 0.598 0.402
Na4 0.800 0.800 0.208
Br1 0.000 0.000 0.500
Br2 0.205 0.205 0.313
Br3 0.392 0.392 0.112
Br4 0.608 0.608 0.888
Br5 0.795 0.795 0.687

---

# 6
## KNaBr (GGA-PBE)

Data for a relaxed structure of KNaBr.

Computed properties:
- uncorrected energy (eV per atom) = -2.36
- spin magnetization (μB/atom) = 0.00
- SG = P3m1, No. 156

Cell: 4.397 4.397 7.475 Å, 90.00 90.00 120.00°
Atoms (fractional coordinates):
K1 0.000 0.000 0.000
Na1 0.333 0.667 0.511
Br1 0.667 0.333 0.287

---

# 7
## K2Na2Br (GGA-PBE)

Data for a relaxed structure of K2Na2Br.

Computed properties:
- uncorrected energy (eV per atom) = -1.75
- spin magnetization (μB/atom) = 0.00
- energy above the most stable polymorph in this dataset (kcal/mol of atoms) = 0.89
- SG = P4/mbm, No. 127

Cell: 8.298 8.298 6.731 Å, 90.00 90.00 90.00°
Atoms (fractional coordinates):
K1 0.177 0.323 0.000
K2 0.323 0.823 0.000
K3 0.677 0.177 0.000
K4 0.823 0.677 0.000
Na1 0.151 0.651 0.500
Na2 0.349 0.151 0.500
Na3 0.651 0.849 0.500
Na4 0.849 0.349 0.500
Br1 0.000 0.000 0.500
Br2 0.500 0.500 0.500

---

# 8
## K2Na4Br (GGA-PBE)

Data for a relaxed structure of K2Na4Br.

Computed properties:
- uncorrected energy (eV per atom) = -1.58
- spin magnetization (μB/atom) = 0.00
- SG = I4/mmm, No. 139

Cell: 11.210 11.210 11.210 Å, 150.10 150.10 42.79°
Atoms (fractional coordinates):
K1 0.174 0.174 0.000
K2 0.826 0.826 0.000
Na1 0.000 0.500 0.500
Na2 0.359 0.359 0.000
Na3 0.500 0.000 0.500
Na4 0.641 0.641 0.000
Br1 0.500 0.500 0.000

---

# 9
## KNa2Br (GGA-PBE)

Data for a relaxed structure of KNa2Br.

Computed properties:
- uncorrected energy (eV per atom) = -2.02
- spin magnetization (μB/atom) = 0.00
- energy above the most stable polymorph in this dataset (kcal/mol of atoms) = 0.00
- SG = R3m, No. 160

Cell: 11.043 11.043 11.043 Å, 22.32 22.32 22.32°
Atoms (fractional coordinates):
K1 0.000 0.000 0.000
Na1 0.222 0.222 0.222
Na2 0.446 0.446 0.446
Br1 0.834 0.834 0.834

---

# 10
## K2NaBr4 (GGA-PBE)

Data for a relaxed structure of K2NaBr4.

Computed properties:
- uncorrected energy (eV per atom) = -2.73
- spin magnetization (μB/atom) = 0.16
- SG = I4/mmm, No. 139

Cell: 9.205 9.205 9.205 Å, 144.40 144.40 51.23°
Atoms (fractional coordinates):
K1 0.127 0.127 0.000
K2 0.873 0.873 0.000
Na1 0.500 0.500 0.000
Br1 0.000 0.500 0.500
Br2 0.322 0.322 0.000
Br3 0.500 0.000 0.500
Br4 0.678 0.678 0.000

---

# 11
## KNa3Br3 (GGA-PBE)

Data for a relaxed structure of KNa3Br3.

Computed properties:
- uncorrected energy (eV per atom) = -2.65
- spin magnetization (μB/atom) = 0.00
- SG = Pm-3n, No. 223

Cell: 8.236 8.236 8.236 Å, 90.00 90.00 90.00°
Atoms (fractional coordinates):
K1 0.000 0.000 0.000
K2 0.500 0.500 0.500
Na1 0.000 0.250 0.500
Na2 0.000 0.750 0.500
Na3 0.250 0.500 0.000
Na4 0.500 0.000 0.250
Na5 0.500 0.000 0.750
Na6 0.750 0.500 0.000
Br1 0.000 0.500 0.250
Br2 0.000 0.500 0.750
Br3 0.250 0.000 0.500
Br4 0.500 0.250 0.000
Br5 0.500 0.750 0.000
Br6 0.750 0.000 0.500

---

# 12
## KNa2Br2 (GGA-PBE)

Data for a relaxed structure of KNa2Br2.

Computed properties:
- uncorrected energy (eV per atom) = -2.48
- spin magnetization (μB/atom) = 0.00
- energy above the most stable polymorph in this dataset (kcal/mol of atoms) = 1.07
- SG = P4/mbm, No. 127

Cell: 8.786 8.786 4.407 Å, 90.00 90.00 90.00°
Atoms (fractional coordinates):
K1 0.000 0.000 0.000
K2 0.500 0.500 0.000
Na1 0.149 0.351 0.500
Na2 0.351 0.851 0.500
Na3 0.649 0.149 0.500
Na4 0.851 0.649 0.500
Br1 0.161 0.661 0.000
Br2 0.339 0.161 0.000
Br3 0.661 0.839 0.000
Br4 0.839 0.339 0.000